# 1
CsAlPb2Se4 after structural relaxation. Source: the Alexandria database, functional GGA-PBE.

SG: I-42m, No. 121
raw total energy: -31.94 eV/f.u.
DOS at the Fermi energy: 0.531 states/eV per cell

Cell lengths 7.169, 7.169, 7.169 Å; angles 115.22, 115.22, 98.49 degrees
Sites, in units of the cell vectors:
Cs 0.000 0.000 0.000
Al 0.500 0.500 0.000
Pb 0.250 0.750 0.500
Pb 0.750 0.250 0.500
Se 0.178 0.560 0.000
Se 0.440 0.440 0.618
Se 0.560 0.178 0.000
Se 0.822 0.822 0.382

***

# 2
CsAlTe3Pb after structural relaxation. Source: the Alexandria database, functional GGA-PBE.

SG: C2/m, No. 12
raw total energy: -20.23 eV/f.u.
DOS at the Fermi energy: 0.884 states/eV per cell

Cell lengths 9.691, 9.691, 9.814 Å; angles 105.58, 105.58, 34.11 degrees
Sites, in units of the cell vectors:
Cs 0.151 0.151 0.078
Cs 0.849 0.849 0.922
Al 0.488 0.488 0.708
Al 0.512 0.512 0.292
Te 0.002 0.002 0.293
Te 0.343 0.343 0.642
Te 0.366 0.366 0.227
Te 0.634 0.634 0.773
Te 0.657 0.657 0.358
Te 0.998 0.998 0.707
Pb 0.137 0.137 0.573
Pb 0.863 0.863 0.427

***

# 3
CsAl3Pd after structural relaxation. Source: the Alexandria database, functional GGA-PBE.

SG: Pm-3m, No. 221
E above lowest polymorph: 0.000 eV per atom
DOS at the Fermi energy: 0.777 states/eV per cell

Cell lengths 4.977, 4.977, 4.977 Å; angles 90.00, 90.00, 90.00 degrees
Sites, in units of the cell vectors:
Cs 0.000 0.000 0.000
Al 0.000 0.500 0.500
Al 0.500 0.000 0.500
Al 0.500 0.500 0.000
Pd 0.500 0.500 0.500

***

# 4
Cs2AlPd after structural relaxation. Source: the Alexandria database, functional GGA-PBE.

SG: Fm-3m, No. 225
E above lowest polymorph: 0.569 eV per atom
DOS at the Fermi energy: 4.360 states/eV per cell

Cell lengths 6.063, 6.063, 6.063 Å; angles 60.00, 60.00, 60.00 degrees
Sites, in units of the cell vectors:
Cs 0.250 0.250 0.250
Cs 0.750 0.750 0.750
Al 0.000 0.000 0.000
Pd 0.500 0.500 0.500

***

# 5
CsAl3Pd after structural relaxation. Source: the Alexandria database, functional GGA-PBE.

SG: Pm-3m, No. 221
E above lowest polymorph: 1.948 eV per atom
DOS at the Fermi energy: 5.894 states/eV per cell

Cell lengths 5.788, 5.788, 5.788 Å; angles 90.00, 90.00, 90.00 degrees
Sites, in units of the cell vectors:
Cs 0.000 0.000 0.000
Al 0.000 0.000 0.500
Al 0.000 0.500 0.000
Al 0.500 0.000 0.000
Pd 0.500 0.500 0.500

***

# 6
Cs2AlPd after structural relaxation. Source: the Alexandria database, functional GGA-PBE.

SG: I-42d, No. 122
E above lowest polymorph: 0.000 eV per atom
DOS at the Fermi energy: 4.450 states/eV per cell

Cell lengths 9.739, 9.739, 9.739 Å; angles 93.59, 93.59, 151.01 degrees
Sites, in units of the cell vectors:
Cs 0.375 0.059 0.184
Cs 0.809 0.625 0.684
Cs 0.875 0.191 0.816
Cs 0.941 0.125 0.316
Al 0.250 0.750 0.500
Al 0.500 0.500 0.000
Pd 0.000 0.000 0.000
Pd 0.750 0.250 0.500

***

# 7
Cs3AlPd after structural relaxation. Source: the Alexandria database, functional GGA-PBE.

SG: Pm-3m, No. 221
raw total energy: -7.96 eV/f.u.
DOS at the Fermi energy: 7.834 states/eV per cell

Cell lengths 6.979, 6.979, 6.979 Å; angles 90.00, 90.00, 90.00 degrees
Sites, in units of the cell vectors:
Cs 0.000 0.000 0.500
Cs 0.000 0.500 0.000
Cs 0.500 0.000 0.000
Al 0.000 0.000 0.000
Pd 0.500 0.500 0.500

***

# 8
CsAlPd2 after structural relaxation. Source: the Alexandria database, functional GGA-PBE.

SG: Fm-3m, No. 225
E above lowest polymorph: 0.555 eV per atom
DOS at the Fermi energy: 3.750 states/eV per cell

Cell lengths 5.044, 5.044, 5.044 Å; angles 60.00, 60.00, 60.00 degrees
Sites, in units of the cell vectors:
Cs 0.000 0.000 0.000
Al 0.500 0.500 0.500
Pd 0.250 0.250 0.250
Pd 0.750 0.750 0.750

***

# 9
CsAlPd2 after structural relaxation. Source: the Alexandria database, functional GGA-PBE.

SG: I4_1/amd, No. 141
E above lowest polymorph: 0.000 eV per atom
DOS at the Fermi energy: 2.739 states/eV per cell

Cell lengths 8.967, 8.967, 8.967 Å; angles 143.97, 143.97, 51.88 degrees
Sites, in units of the cell vectors:
Cs 0.375 0.625 0.750
Cs 0.625 0.375 0.250
Al 0.125 0.875 0.250
Al 0.875 0.125 0.750
Pd 0.000 0.000 0.000
Pd 0.000 0.000 0.500
Pd 0.000 0.500 0.000
Pd 0.500 0.000 0.500

***

# 10
CsRbAlPd2 after structural relaxation. Source: the Alexandria database, functional GGA-PBE.

SG: P4/mmm, No. 123
raw total energy: -10.24 eV/f.u.
DOS at the Fermi energy: 4.317 states/eV per cell

Cell lengths 5.588, 5.588, 6.442 Å; angles 90.00, 90.00, 90.00 degrees
Sites, in units of the cell vectors:
Cs 0.000 0.000 0.000
Rb 0.000 0.000 0.500
Al 0.500 0.500 0.000
Pd 0.000 0.500 0.500
Pd 0.500 0.000 0.500

***

# 11
CsAlSbPd2 after structural relaxation. Source: the Alexandria database, functional GGA-PBE.

SG: P4/mmm, No. 123
raw total energy: -11.98 eV/f.u.
DOS at the Fermi energy: 3.663 states/eV per cell

Cell lengths 5.149, 5.149, 7.030 Å; angles 90.00, 90.00, 90.00 degrees
Sites, in units of the cell vectors:
Cs 0.000 0.000 0.000
Al 0.500 0.500 0.500
Sb 0.000 0.000 0.500
Pd 0.000 0.500 0.000
Pd 0.500 0.000 0.000

***

# 12
CsZr2AlPd after structural relaxation. Source: the Alexandria database, functional GGA-PBE.

SG: P4/mmm, No. 123
E above lowest polymorph: 0.676 eV per atom
DOS at the Fermi energy: 5.613 states/eV per cell

Cell lengths 5.286, 5.286, 5.003 Å; angles 90.00, 90.00, 90.00 degrees
Sites, in units of the cell vectors:
Cs 0.000 0.000 0.000
Zr 0.000 0.500 0.000
Zr 0.500 0.000 0.000
Al 0.500 0.500 0.500
Pd 0.000 0.000 0.500

***

Q: Look up the DOS at the Fermi energy of the fifth one.
A: 5.894 states/eV per cell